[1]
Entry from the Alexandria database: crystalline SrDy2PuSe4 at its relaxed geometry (PBE).

## Properties
Its formation energy (no corrections) is -14.05 eV per formula unit. The total magnetic moment comes out at 6.068 μB/f.u.

The structure in CIF format:
```
data_SrDy2PuSe4
_cell_length_a 7.232
_cell_length_b 4.153
_cell_length_c 7.269
_cell_angle_alpha 90.00
_cell_angle_beta 109.24
_cell_angle_gamma 90.00
_symmetry_space_group_name_H-M 'P 1 2/m 1'
_symmetry_Int_Tables_number 10
_symmetry_space_group_name_Hall '-P 2y'
loop_
_atom_site_label
_atom_site_type_symbol
_atom_site_fract_x
_atom_site_fract_y
_atom_site_fract_z
Sr1 Sr 0.000 0.000 0.000
Dy1 Dy 0.000 0.500 0.500
Dy2 Dy 0.500 0.000 0.500
Pu1 Pu 0.500 0.500 0.000
Se1 Se 0.251 0.000 0.740
Se2 Se 0.259 0.500 0.265
```


[2]
Entry from the Alexandria database: crystalline Pm2In5Hg12 at its relaxed geometry (PBE).

## Properties
The energy is -1.5438 eV/atom. The total magnetic moment comes out at 0.000 μB/f.u.

The structure in CIF format:
```
data_Pm2In5Hg12
_cell_length_a 20.358
_cell_length_b 10.050
_cell_length_c 5.080
_cell_angle_alpha 90.00
_cell_angle_beta 104.31
_cell_angle_gamma 90.00
_symmetry_space_group_name_H-M 'C 1 2/m 1'
_symmetry_Int_Tables_number 12
_symmetry_space_group_name_Hall '-C 2y'
loop_
_atom_site_label
_atom_site_type_symbol
_atom_site_fract_x
_atom_site_fract_y
_atom_site_fract_z
Pm1 Pm 0.000 0.222 0.000
In1 In 0.000 0.000 0.500
In2 In 0.201 0.500 0.702
In3 In 0.203 0.000 0.701
Hg1 Hg 0.085 0.500 0.083
Hg2 Hg 0.095 0.276 0.593
Hg3 Hg 0.113 0.000 0.111
Hg4 Hg 0.194 0.262 0.193
```